[1]
First-principles (PBE) data for crystalline Na2HfI2 at its relaxed geometry, as listed in the Alexandria database.

extended XYZ file:
```
10
Lattice="9.0194 0.0000 0.0000 0.0000 9.0194 0.0000 0.0000 0.0000 3.8282" Properties=species:S:1:pos:R:3 pbc="T T T"
Na 1.2286 3.2811 0.0000
Na 3.2811 7.7908 0.0000
Na 5.7383 1.2286 0.0000
Na 7.7908 5.7383 0.0000
Hf 0.0000 0.0000 0.0000
Hf 4.5097 4.5097 0.0000
I 1.4902 5.9999 1.9141
I 3.0195 1.4902 1.9141
I 5.9999 7.5293 1.9141
I 7.5293 3.0195 1.9141
```

The value obtained for the density of states at the Fermi level is 1.36 states/eV/cell. The total energy is -30.7 eV/cell. For the uncorrected formation energy, the calculation gives 0.07 eV per atom.

***

[2]
First-principles (PBE) data for crystalline CaSb2Se at its relaxed geometry, as listed in the Alexandria database.

extended XYZ file:
```
4
Lattice="4.1765 0.0000 0.0000 0.0000 4.1938 0.0000 0.0000 0.0000 6.6061" Properties=species:S:1:pos:R:3 pbc="T T T"
Ca 0.0000 0.0000 0.0000
Sb 0.0000 2.0969 3.3031
Sb 2.0882 0.0000 3.3031
Se 2.0882 2.0969 0.0000
```

The value obtained for the density of states at the Fermi level is 2.39 states/eV/cell. The total energy is -16.1 eV/cell. For the uncorrected formation energy, the calculation gives -0.60 eV per atom.

***

[3]
First-principles (PBE) data for crystalline AlCdFe at its relaxed geometry, as listed in the Alexandria database.

extended XYZ file:
```
3
Lattice="-1.4229 1.4229 5.8992 1.4229 -1.4229 5.8992 1.4229 1.4229 -5.8992" Properties=species:S:1:pos:R:3 pbc="T T T"
Al 0.0000 0.0000 0.0000
Cd 0.0000 0.0000 3.5824
Fe 0.0000 0.0000 7.4656
```

The value obtained for the density of states at the Fermi level is 2.60 states/eV/cell. The total energy is -12.8 eV/cell.

***

[4]
First-principles (PBE) data for crystalline SmSiTc at its relaxed geometry, as listed in the Alexandria database.

extended XYZ file:
```
6
Lattice="5.0822 -2.1279 0.0000 5.0822 2.1279 0.0000 -4.7823 0.0000 5.4756" Properties=species:S:1:pos:R:3 pbc="T T T"
Sm -0.9039 0.0000 1.7646
Sm 6.2860 0.0000 3.7111
Si 2.0426 0.0000 1.3631
Si 3.3396 0.0000 4.1126
Tc -0.9148 0.0000 5.1118
Tc 6.2969 0.0000 0.3638
```

The value obtained for the density of states at the Fermi level is 4.17 states/eV/cell. The total energy is -44.0 eV/cell. For the uncorrected formation energy, the calculation gives -0.50 eV per atom.